# 1
DFT (PBE-GGA) results for crystalline Li4CdIrPb2 at its relaxed geometry.

abc: 4.626 4.626 6.858
angles: 90.00 90.00 90.00
Atoms (fractional coordinates):
1 Pb 0.000 0.500 0.275
2 Pb 0.500 0.000 0.725
3 Li 0.000 0.000 0.500
4 Li 0.000 0.500 0.726
5 Li 0.500 0.000 0.274
6 Li 0.500 0.500 0.000
7 Cd 0.000 0.000 0.000
8 Ir 0.500 0.500 0.500


# 2
DFT (PBE-GGA) results for crystalline Pr2Ho2SiCl5 at its relaxed geometry.

abc: 9.087 9.087 8.573
angles: 101.61 101.61 25.46
Atoms (fractional coordinates):
1 Ho 0.653 0.653 0.080
2 Ho 0.347 0.347 0.920
3 Pr 0.998 0.998 0.232
4 Pr 0.002 0.002 0.768
5 Cl 0.170 0.170 0.299
6 Cl 0.821 0.821 0.130
7 Cl 0.830 0.830 0.701
8 Cl 0.179 0.179 0.870
9 Cl 0.500 0.500 0.500
10 Si 0.500 0.500 0.000


# 3
DFT (PBE-GGA) results for crystalline BaSnAu2S4 at its relaxed geometry.

abc: 6.569 6.569 11.207
angles: 90.00 90.00 118.42
Atoms (fractional coordinates):
1 S 0.614 0.966 0.006
2 S 0.386 0.034 0.506
3 S 0.796 0.770 0.679
4 S 0.770 0.796 0.321
5 S 0.204 0.230 0.179
6 S 0.230 0.204 0.821
7 S 0.034 0.386 0.494
8 S 0.966 0.614 0.994
9 Sn 0.005 0.005 0.000
10 Sn 0.995 0.995 0.500
11 Au 0.413 0.600 0.096
12 Au 0.400 0.587 0.404
13 Au 0.587 0.400 0.596
14 Au 0.600 0.413 0.904
15 Ba 0.278 0.722 0.750
16 Ba 0.722 0.278 0.250


# 4
DFT (PBE-GGA) results for crystalline LiTa2PbS4 at its relaxed geometry.

abc: 3.358 3.358 15.014
angles: 90.00 90.00 120.00
Atoms (fractional coordinates):
1 S 0.667 0.333 0.184
2 S 0.667 0.333 0.392
3 S 0.333 0.667 0.816
4 S 0.333 0.667 0.608
5 Li 0.000 0.000 0.500
6 Ta 0.000 0.000 0.713
7 Ta 0.000 0.000 0.287
8 Pb 0.000 0.000 0.000


# 5
DFT (PBE-GGA) results for crystalline NaAg3SnO4 at its relaxed geometry.

abc: 5.661 5.661 5.661
angles: 90.00 90.00 90.00
Atoms (fractional coordinates):
1 O 0.292 0.708 0.708
2 O 0.708 0.292 0.708
3 O 0.708 0.708 0.292
4 O 0.292 0.292 0.292
5 Ag 0.000 0.500 0.500
6 Ag 0.500 0.000 0.500
7 Ag 0.500 0.500 0.000
8 Na 0.000 0.000 0.000
9 Sn 0.500 0.500 0.500


# 6
DFT (PBE-GGA) results for crystalline K2Hf2Pb2O7 at its relaxed geometry.

abc: 6.102 6.102 8.121
angles: 90.00 90.00 120.00
Atoms (fractional coordinates):
1 O 0.248 0.343 0.193
2 O 0.095 0.752 0.193
3 O 0.657 0.905 0.193
4 O 0.000 0.000 0.500
5 O 0.752 0.657 0.807
6 O 0.905 0.248 0.807
7 O 0.343 0.095 0.807
8 K 0.667 0.333 0.074
9 K 0.333 0.667 0.926
10 Pb 0.333 0.667 0.356
11 Pb 0.667 0.333 0.644
12 Hf 0.000 0.000 0.260
13 Hf 0.000 0.000 0.740


Total energy for every record listed, in sequence, given in eV/cell: -26.43, -50.57, -70.02, -54.17, -37.78, -93.84.